The following is a DFT calculation (PBE) of a relaxed TmPaIr2 crystal.

Output
* total magnetization: 0.0000 μB per atom
* ΔE_f: -0.838 eV per atom
* relative energy among the computed polymorphs: 75 meV per atom
* D(E_F): 1.9 states/eV/f.u.

a = 3.921 Å, b = 3.921 Å, c = 7.071 Å
α = 73.90°, β = 73.90°, γ = 60.00°
Atoms (fractional coordinates):
Pa: 0.000 0.000 0.000
Tm: 0.500 0.500 0.500
Ir: 0.746 0.746 0.762
Ir: 0.254 0.254 0.238